# PrThAlZn (PBE, optimized geometry)
# * energy relative to the elements: -0.2473 eV/atom
# * density: 7.5 Mg/m³
data_PrThAlZn
_chemical_formula_sum 'Pr4 Th4 Al4 Zn4'
_cell_length_a 7.438
_cell_length_b 7.438
_cell_length_c 7.438
_cell_angle_alpha 90.00
_cell_angle_beta 90.00
_cell_angle_gamma 90.00
_space_group_name_H-M_alt 'F -4 3 m'
_space_group_IT_number 216
_space_group_name_Hall 'F -4 2 3'
loop_
_atom_site_label
_atom_site_fract_x
_atom_site_fract_y
_atom_site_fract_z
_atom_site_occupancy
Pr1 0.000 0.000 0.000 1
Th1 0.000 0.000 0.500 1
Al1 0.250 0.250 0.750 1
Zn1 0.250 0.250 0.250 1

***

# PrThAl2Zn2 (PBE, optimized geometry)
# * energy relative to the elements: -0.3877 eV/atom
# * density: 6.7 Mg/m³
data_PrThAl2Zn2
_chemical_formula_sum 'Pr1 Th1 Al2 Zn2'
_cell_length_a 4.5400
_cell_length_b 4.5400
_cell_length_c 7.7119
_cell_angle_alpha 90.00
_cell_angle_beta 90.00
_cell_angle_gamma 120.00
_space_group_name_H-M_alt 'P -3 m 1'
_space_group_IT_number 164
_space_group_name_Hall '-P 3 2"'
loop_
_atom_site_label
_atom_site_fract_x
_atom_site_fract_y
_atom_site_fract_z
_atom_site_occupancy
Pr1 0.0000 0.0000 0.0000 1
Th1 0.0000 0.0000 0.5000 1
Al1 0.3333 0.6667 0.7420 1
Zn1 0.3333 0.6667 0.2599 1

***

# PrTiAl4 (PBE, optimized geometry)
# * energy relative to the elements: -0.3133 eV/atom
# * density: 4.3 Mg/m³
data_PrTiAl4
_chemical_formula_sum 'Pr4 Ti4 Al16'
_cell_length_a 7.725
_cell_length_b 7.725
_cell_length_c 7.725
_cell_angle_alpha 90.00
_cell_angle_beta 90.00
_cell_angle_gamma 90.00
_space_group_name_H-M_alt 'F -4 3 m'
_space_group_IT_number 216
_space_group_name_Hall 'F -4 2 3'
loop_
_atom_site_label
_atom_site_fract_x
_atom_site_fract_y
_atom_site_fract_z
_atom_site_occupancy
Pr1 0.000 0.000 0.000 1
Ti1 0.250 0.250 0.750 1
Al1 0.124 0.124 0.376 1

***

# Pr6Al2Tl (PBE, optimized geometry)
# * excess energy over the best structure of this formula in the dataset: 0.100 eV per atom
# * energy relative to the elements: -0.1317 eV/atom
# * density: 6.5 Mg/m³
data_Pr6Al2Tl
_chemical_formula_sum 'Pr12 Al4 Tl2'
_cell_length_a 6.022
_cell_length_b 9.257
_cell_length_c 11.204
_cell_angle_alpha 90.00
_cell_angle_beta 116.14
_cell_angle_gamma 90.00
_space_group_name_H-M_alt 'P 1 21/c 1'
_space_group_IT_number 14
loop_
_space_group_symop_operation_xyz
'x,y,z'
'-x,-y,-z'
'-x,y+1/2,-z+1/2'
'x,-y+1/2,z+1/2'
loop_
_atom_site_label
_atom_site_fract_x
_atom_site_fract_y
_atom_site_fract_z
_atom_site_occupancy
Pr1 0.005 0.157 0.081 1
Pr2 0.387 0.518 0.307 1
Pr3 0.396 0.173 0.437 1
Al1 0.179 0.644 0.746 1
Tl1 0.000 0.000 0.500 1

***

# Pr5AlTl2 (PBE, optimized geometry)
# * energy relative to the elements: -0.2496 eV/atom
# * density: 7.5 Mg/m³
data_Pr5AlTl2
_chemical_formula_sum 'Pr20 Al4 Tl8'
_cell_length_a 8.830
_cell_length_b 8.830
_cell_length_c 12.895
_cell_angle_alpha 90.00
_cell_angle_beta 90.00
_cell_angle_gamma 90.00
_space_group_name_H-M_alt 'I 4/m c m'
_space_group_IT_number 140
_space_group_name_Hall '-I 4 2c'
loop_
_atom_site_label
_atom_site_fract_x
_atom_site_fract_y
_atom_site_fract_z
_atom_site_occupancy
Pr1 0.000 0.000 0.000 1
Pr2 0.160 0.340 0.155 1
Al1 0.000 0.000 0.250 1
Tl1 0.139 0.361 0.500 1

***

# Pr5Al4Tl (PBE, optimized geometry)
# * energy relative to the elements: -0.3486 eV/atom
# * density: 6.2 Mg/m³
data_Pr5Al4Tl
_chemical_formula_sum 'Pr5 Al4 Tl1'
_cell_length_a 3.781
_cell_length_b 3.781
_cell_length_c 19.124
_cell_angle_alpha 90.00
_cell_angle_beta 90.00
_cell_angle_gamma 90.00
_space_group_name_H-M_alt 'P 4/m m m'
_space_group_IT_number 123
_space_group_name_Hall '-P 4 2'
loop_
_atom_site_label
_atom_site_fract_x
_atom_site_fract_y
_atom_site_fract_z
_atom_site_occupancy
Pr1 0.000 0.000 0.000 1
Pr2 0.000 0.000 0.194 1
Pr3 0.000 0.000 0.390 1
Al1 0.500 0.500 0.097 1
Al2 0.500 0.500 0.292 1
Tl1 0.500 0.500 0.500 1

***

# Pr12AlTl3 (PBE, optimized geometry)
# * energy relative to the elements: -0.2004 eV/atom
# * density: 7.7 Mg/m³
data_Pr12AlTl3
_chemical_formula_sum 'Pr12 Al1 Tl3'
_cell_length_a 5.005
_cell_length_b 5.005
_cell_length_c 20.069
_cell_angle_alpha 90.00
_cell_angle_beta 90.00
_cell_angle_gamma 90.00
_space_group_name_H-M_alt 'P 4/m m m'
_space_group_IT_number 123
_space_group_name_Hall '-P 4 2'
loop_
_atom_site_label
_atom_site_fract_x
_atom_site_fract_y
_atom_site_fract_z
_atom_site_occupancy
Pr1 0.000 0.000 0.000 1
Pr2 0.000 0.000 0.247 1
Pr3 0.000 0.000 0.500 1
Pr4 0.000 0.500 0.120 1
Pr5 0.000 0.500 0.374 1
Al1 0.500 0.500 0.000 1
Tl1 0.500 0.500 0.248 1
Tl2 0.500 0.500 0.500 1

***

# PrAlTl (PBE, optimized geometry)
# * energy relative to the elements: -0.1244 eV/atom
# * density: 7.0 Mg/m³
data_PrAlTl
_chemical_formula_sum 'Pr2 Al2 Tl2'
_cell_length_a 4.5487
_cell_length_b 4.5487
_cell_length_c 9.7882
_cell_angle_alpha 90.00
_cell_angle_beta 90.00
_cell_angle_gamma 120.00
_space_group_name_H-M_alt 'P 63 m c'
_space_group_IT_number 186
_space_group_name_Hall 'P 6c -2c'
loop_
_atom_site_label
_atom_site_fract_x
_atom_site_fract_y
_atom_site_fract_z
_atom_site_occupancy
Pr1 0.3333 0.6667 0.0000 1
Al1 0.3333 0.6667 0.3279 1
Tl1 0.0000 0.0000 0.2276 1

***

# Pr4AlTl2 (PBE, optimized geometry)
# * excess energy over the best structure of this formula in the dataset: 0.000 eV per atom
# * energy relative to the elements: -0.2506 eV/atom
# * density: 7.7 Mg/m³
data_Pr4AlTl2
_chemical_formula_sum 'Pr8 Al2 Tl4'
_cell_length_a 7.262
_cell_length_b 7.407
_cell_length_c 8.653
_cell_angle_alpha 79.97
_cell_angle_beta 83.92
_cell_angle_gamma 70.38
_space_group_name_H-M_alt 'P 1'
_space_group_IT_number 1
loop_
_space_group_symop_operation_xyz
'x,y,z'
loop_
_atom_site_label
_atom_site_fract_x
_atom_site_fract_y
_atom_site_fract_z
_atom_site_occupancy
Pr1 0.000 0.000 0.000 1
Pr2 0.038 0.462 0.117 1
Pr3 0.156 0.330 0.663 1
Pr4 0.440 0.903 0.591 1
Pr5 0.522 0.807 0.080 1
Pr6 0.572 0.260 0.203 1
Pr7 0.678 0.395 0.530 1
Pr8 0.922 0.825 0.693 1
Al1 0.558 0.166 0.851 1
Al2 0.754 0.462 0.870 1
Tl1 0.077 0.088 0.359 1
Tl2 0.260 0.640 0.366 1
Tl3 0.343 0.577 0.858 1
Tl4 0.810 0.787 0.346 1

***

# Pr5AlTl3 (PBE, optimized geometry)
# * energy relative to the elements: -0.3328 eV/atom
# * density: 8.1 Mg/m³
data_Pr5AlTl3
_chemical_formula_sum 'Pr10 Al2 Tl6'
_cell_length_a 9.7181
_cell_length_b 9.7181
_cell_length_c 6.7407
_cell_angle_alpha 90.00
_cell_angle_beta 90.00
_cell_angle_gamma 120.00
_space_group_name_H-M_alt 'P 63/m c m'
_space_group_IT_number 193
_space_group_name_Hall '-P 6c 2'
loop_
_atom_site_label
_atom_site_fract_x
_atom_site_fract_y
_atom_site_fract_z
_atom_site_occupancy
Pr1 0.0000 0.2765 0.2500 1
Pr2 0.3333 0.6667 0.0000 1
Al1 0.0000 0.0000 0.0000 1
Tl1 0.0000 0.3742 0.7500 1